[1]
DFT (PBE) results for an optimized crystal structure of Pm3NdO6.

Values from the calculation:
offset from the most stable computed form: 0 meV per atom
uncorrected formation energy: -3372.0 meV per atom

Cell lengths 10.0275, 10.0275, 11.8165 Å; angles 90.00, 90.00, 120.00 degrees
Space group R-3 (No. 148, hexagonal axes)
Unique sites:
Pm 0.0373 0.2648 0.2113 x18
Nd 0.0000 0.0000 0.0000 x3
Nd 0.0000 0.0000 0.5000 x3
O 0.0268 0.2215 0.4039 x18
O 0.0282 0.1875 0.8675 x18

=====

[2]
DFT (PBE) results for an optimized crystal structure of PmNdO.

Values from the calculation:
offset from the most stable computed form: 0 meV per atom
uncorrected formation energy: -1696.7 meV per atom

Cell lengths 3.6788, 3.6788, 6.0424 Å; angles 90.00, 90.00, 120.00 degrees
Space group P3m1 (No. 156)
Unique sites:
Pm 0.0000 0.0000 0.0000 x1
Nd 0.6667 0.3333 0.5441 x1
O 0.3333 0.6667 0.7792 x1

=====

[3]
DFT (PBE) results for an optimized crystal structure of Pm3NdO6.

Values from the calculation:
offset from the most stable computed form: 83 meV per atom
uncorrected formation energy: -3288.6 meV per atom

Cell lengths 5.929, 6.170, 10.654 Å; angles 90.00, 123.75, 90.00 degrees
Space group P2_1/c (No. 14)
Unique sites:
Pm 0.000 0.000 0.000 x2
Pm 0.234 0.046 0.750 x4
Nd 0.500 0.000 0.500 x2
O 0.098 0.187 0.417 x4
O 0.234 0.685 0.418 x4
O 0.403 0.088 0.249 x4

=====

[4]
DFT (PBE) results for an optimized crystal structure of PmNdO.

Values from the calculation:
offset from the most stable computed form: 321 meV per atom
uncorrected formation energy: -1375.2 meV per atom

Cell lengths 6.762, 6.894, 13.411 Å; angles 90.00, 90.00, 90.00 degrees
Space group Fmmm (No. 69)
Unique sites:
Pm 0.000 0.000 0.232 x8
Nd 0.000 0.244 0.500 x8
O 0.240 0.000 0.000 x8

=====

[5]
DFT (PBE) results for an optimized crystal structure of PmNd2O.

Values from the calculation:
offset from the most stable computed form: 334 meV per atom
uncorrected formation energy: -799.3 meV per atom

Cell lengths 3.260, 3.260, 9.276 Å; angles 90.00, 90.00, 90.00 degrees
Space group P4/mmm (No. 123)
Unique sites:
Pm 0.000 0.000 0.000 x1
Nd 0.500 0.500 0.331 x2
O 0.000 0.000 0.500 x1

=====

[6]
DFT (PBE) results for an optimized crystal structure of PmNd2O.

Values from the calculation:
offset from the most stable computed form: 0 meV per atom
uncorrected formation energy: -1133.6 meV per atom

Cell lengths 3.6371, 3.6371, 28.7270 Å; angles 90.00, 90.00, 120.00 degrees
Space group R-3m (No. 166, hexagonal axes)
Unique sites:
Pm 0.0000 0.0000 0.0000 x3
Nd 0.0000 0.0000 0.1193 x6
O 0.0000 0.0000 0.5000 x3

=====

[7]
DFT (PBE) results for an optimized crystal structure of PmNdO3.

Values from the calculation:
uncorrected formation energy: -3227.7 meV per atom

Cell lengths 5.8654, 5.8654, 16.9598 Å; angles 90.00, 90.00, 120.00 degrees
Space group R32 (No. 155, hexagonal axes)
Unique sites:
Pm 0.0000 0.0000 0.1461 x6
Nd 0.0000 0.0000 0.3553 x6
O 0.0036 0.2928 0.7503 x18

=====

[8]
DFT (PBE) results for an optimized crystal structure of Pm4Nd2O.

Values from the calculation:
uncorrected formation energy: -636.3 meV per atom

Cell lengths 4.935, 4.935, 17.957 Å; angles 90.00, 90.00, 90.00 degrees
Space group I4/mmm (No. 139)
Unique sites:
Pm 0.000 0.000 0.136 x4
Pm 0.000 0.500 0.000 x4
Nd 0.000 0.000 0.336 x4
O 0.000 0.000 0.000 x2

=====

[9]
DFT (PBE) results for an optimized crystal structure of PmNd3O.

Values from the calculation:
uncorrected formation energy: -1081.1 meV per atom

Cell lengths 5.122, 5.122, 5.122 Å; angles 90.00, 90.00, 90.00 degrees
Space group Pm-3m (No. 221)
Unique sites:
Pm 0.000 0.000 0.000 x1
Nd 0.000 0.500 0.500 x3
O 0.500 0.500 0.500 x1

=====

[10]
DFT (PBE) results for an optimized crystal structure of PmNdO3.

Values from the calculation:
uncorrected formation energy: -3179.7 meV per atom

Cell lengths 6.2113, 6.2113, 3.1930 Å; angles 90.00, 90.00, 120.00 degrees
Space group P-6m2 (No. 187)
Unique sites:
Pm 0.0000 0.0000 0.0000 x1
Nd 0.6667 0.3333 0.0000 x1
O 0.3311 0.1656 0.5000 x3

=====

[11]
DFT (PBE) results for an optimized crystal structure of PmNdO4.

Values from the calculation:
uncorrected formation energy: -2856.2 meV per atom

Cell lengths 6.729, 4.028, 6.527 Å; angles 90.00, 97.86, 90.00 degrees
Space group Cm (No. 8)
Unique sites:
Pm 0.000 0.000 0.000 x2
Nd 0.105 0.500 0.539 x2
O 0.151 0.500 0.914 x2
O 0.223 0.000 0.339 x2
O 0.382 0.000 0.197 x2
O 0.455 0.500 0.631 x2

=====

[12]
DFT (PBE) results for an optimized crystal structure of PmPrNdO.

Values from the calculation:
uncorrected formation energy: -1006.8 meV per atom

Cell lengths 4.280, 4.280, 13.887 Å; angles 90.00, 90.00, 90.00 degrees
Space group P4/nmm (No. 129, origin choice 2)
Unique sites:
Pm 0.250 0.250 0.072 x2
Pr 0.250 0.250 0.714 x2
Nd 0.250 0.750 0.500 x2
O 0.250 0.750 0.000 x2

=====

[13]
DFT (PBE) results for an optimized crystal structure of PmNd2PtO5.

Values from the calculation:
uncorrected formation energy: -2390.5 meV per atom

Cell lengths 6.725, 6.725, 5.853 Å; angles 90.00, 90.00, 90.00 degrees
Space group P4/mbm (No. 127)
Unique sites:
Pm 0.000 0.000 0.000 x2
Nd 0.168 0.332 0.500 x4
Pt 0.000 0.500 0.000 x2
O 0.000 0.000 0.500 x2
O 0.148 0.648 0.249 x8

=====

[14]
DFT (PBE) results for an optimized crystal structure of Pm2NdPuO8.

Values from the calculation:
uncorrected formation energy: -2998.7 meV per atom

Cell lengths 4.047, 7.583, 5.539 Å; angles 90.00, 96.18, 90.00 degrees
Space group P2/m (No. 10)
Unique sites:
Pm 0.000 0.244 0.000 x2
Nd 0.500 0.000 0.500 x1
Pu 0.500 0.500 0.500 x1
O 0.005 0.000 0.755 x2
O 0.075 0.500 0.286 x2
O 0.455 0.283 0.734 x4

=====

[15]
DFT (PBE) results for an optimized crystal structure of PmNdPuO6.

Values from the calculation:
uncorrected formation energy: -2969.5 meV per atom

Cell lengths 5.9117, 5.9117, 9.5053 Å; angles 90.00, 90.00, 120.00 degrees
Space group P-31c (No. 163)
Unique sites:
Pm 0.0000 0.0000 0.0000 x2
Nd 0.3333 0.6667 0.2500 x2
Pu 0.3333 0.6667 0.7500 x2
O 0.0381 0.3653 0.6336 x12

=====

[16]
DFT (PBE) results for an optimized crystal structure of Rb3Pm2NdO6.

Values from the calculation:
uncorrected formation energy: -2577.5 meV per atom

Cell lengths 6.319, 10.945, 6.934 Å; angles 90.00, 107.69, 90.00 degrees
Space group C2/m (No. 12)
Unique sites:
Rb 0.000 0.000 0.000 x2
Rb 0.000 0.333 0.000 x4
Pm 0.000 0.167 0.500 x4
Nd 0.000 0.500 0.500 x2
O 0.225 0.000 0.680 x4
O 0.228 0.332 0.680 x8

=====

[17]
DFT (PBE) results for an optimized crystal structure of Rb3PmNd2O6.

Values from the calculation:
uncorrected formation energy: -2566.1 meV per atom

Cell lengths 6.339, 10.979, 6.939 Å; angles 90.00, 107.73, 90.00 degrees
Space group C2/m (No. 12)
Unique sites:
Rb 0.000 0.000 0.000 x2
Rb 0.000 0.334 0.000 x4
Pm 0.000 0.500 0.500 x2
Nd 0.000 0.167 0.500 x4
O 0.226 0.334 0.680 x8
O 0.229 0.000 0.680 x4

=====

[18]
DFT (PBE) results for an optimized crystal structure of PmNd2ReO8.

Values from the calculation:
uncorrected formation energy: -2668.0 meV per atom

Cell lengths 7.343, 7.380, 6.982 Å; angles 90.00, 90.00, 90.00 degrees
Space group Cmmm (No. 65)
Unique sites:
Pm 0.000 0.000 0.000 x2
Nd 0.000 0.500 0.252 x4
Re 0.000 0.000 0.500 x2
O 0.000 0.177 0.299 x8
O 0.192 0.500 0.000 x4
O 0.243 0.500 0.500 x4

=====

[19]
DFT (PBE) results for an optimized crystal structure of Pm2NdReO8.

Values from the calculation:
uncorrected formation energy: -2683.8 meV per atom

Cell lengths 5.181, 6.980, 5.183 Å; angles 90.00, 90.07, 90.00 degrees
Space group P2/m (No. 10)
Unique sites:
Pm 0.000 0.248 0.000 x2
Nd 0.500 0.500 0.500 x1
Re 0.500 0.000 0.500 x1
O 0.190 0.500 0.188 x2
O 0.242 0.000 0.241 x2
O 0.321 0.200 0.678 x4

=====

[20]
DFT (PBE) results for an optimized crystal structure of PmNd2RuO8.

Values from the calculation:
uncorrected formation energy: -2268.9 meV per atom

Cell lengths 5.194, 6.988, 5.206 Å; angles 90.00, 90.03, 90.00 degrees
Space group P2/m (No. 10)
Unique sites:
Pm 0.000 0.000 0.000 x1
Nd 0.500 0.252 0.500 x2
Ru 0.000 0.500 0.000 x1
O 0.179 0.295 0.821 x4
O 0.256 0.500 0.255 x2
O 0.309 0.000 0.309 x2

=====

[21]
DFT (PBE) results for an optimized crystal structure of PmNdS2O8.

Values from the calculation:
uncorrected formation energy: -1847.7 meV per atom

Cell lengths 5.0752, 5.0752, 8.1850 Å; angles 90.00, 90.00, 120.00 degrees
Space group P-3m1 (No. 164)
Unique sites:
Pm 0.0000 0.0000 0.0000 x1
Nd 0.0000 0.0000 0.5000 x1
S 0.3333 0.6667 0.3089 x2
O 0.1724 0.3447 0.2542 x6
O 0.3333 0.6667 0.4927 x2

=====

[22]
DFT (PBE) results for an optimized crystal structure of PmNdSb2O8.

Values from the calculation:
uncorrected formation energy: -2298.1 meV per atom

Cell lengths 5.379, 5.379, 11.549 Å; angles 90.00, 90.00, 90.00 degrees
Space group I-4 (No. 82)
Unique sites:
Pm 0.000 0.000 0.000 x2
Nd 0.000 0.500 0.250 x2
Sb 0.000 0.000 0.500 x2
Sb 0.000 0.500 0.750 x2
O 0.172 0.750 0.838 x8
O 0.175 0.250 0.413 x8